# Na3InGa9Ir2 | the Alexandria database | PBE-GGA | optimized geometry
# total magnetic moment	0.00	μB per formula unit
# theoretical density	5.43	g cm⁻³
# DFT formation energy	-1.08	eV/f.u.
# calculated total energy	-3.516	eV/atom
data_Na3InGa9Ir2
_chemical_formula_sum 'Na3 In1 Ga9 Ir2'
_symmetry_space_group_name_H-M 'P -3 m 1'
_symmetry_Int_Tables_number 164
_symmetry_space_group_name_Hall '-P 3 2"'
_cell_length_a 7.3063
_cell_length_b 7.3063
_cell_length_c 7.9087
_cell_angle_alpha 90.00
_cell_angle_beta 90.00
_cell_angle_gamma 120.00
loop_
_atom_site_label
_atom_site_type_symbol
_atom_site_fract_x
_atom_site_fract_y
_atom_site_fract_z
Na1 Na 0.0000 0.0000 0.0000
Na2 Na 0.3333 0.6667 0.7226
In1 In 0.0000 0.0000 0.5000
Ga1 Ga 0.0000 0.5000 0.0000
Ga2 Ga 0.2055 0.4109 0.3909
Ir1 Ir 0.3333 0.6667 0.1365

***

# InGaNiIr | the Alexandria database | PBE-GGA | optimized geometry
# total magnetic moment	0.00	μB per formula unit
# theoretical density	11.90	g cm⁻³
# DFT formation energy	-0.61	eV/f.u.
# calculated total energy	-5.255	eV/atom
data_InGaNiIr
_chemical_formula_sum 'In4 Ga4 Ni4 Ir4'
_symmetry_space_group_name_H-M 'F -4 3 m'
_symmetry_Int_Tables_number 216
_symmetry_space_group_name_Hall 'F -4 2 3'
_cell_length_a 6.242
_cell_length_b 6.242
_cell_length_c 6.242
_cell_angle_alpha 90.00
_cell_angle_beta 90.00
_cell_angle_gamma 90.00
loop_
_atom_site_label
_atom_site_type_symbol
_atom_site_fract_x
_atom_site_fract_y
_atom_site_fract_z
In1 In 0.000 0.000 0.000
Ga1 Ga 0.000 0.000 0.500
Ni1 Ni 0.250 0.250 0.250
Ir1 Ir 0.250 0.250 0.750

***

# NpInGaIr | the Alexandria database | PBE-GGA | optimized geometry
# total magnetic moment	3.74	μB per formula unit
# theoretical density	12.91	g cm⁻³
# DFT formation energy	-0.46	eV/f.u.
# calculated total energy	-7.007	eV/atom
data_NpInGaIr
_chemical_formula_sum 'Np4 In4 Ga4 Ir4'
_symmetry_space_group_name_H-M 'F -4 3 m'
_symmetry_Int_Tables_number 216
_symmetry_space_group_name_Hall 'F -4 2 3'
_cell_length_a 6.810
_cell_length_b 6.810
_cell_length_c 6.810
_cell_angle_alpha 90.00
_cell_angle_beta 90.00
_cell_angle_gamma 90.00
loop_
_atom_site_label
_atom_site_type_symbol
_atom_site_fract_x
_atom_site_fract_y
_atom_site_fract_z
Np1 Np 0.000 0.000 0.000
In1 In 0.000 0.000 0.500
Ga1 Ga 0.250 0.250 0.250
Ir1 Ir 0.250 0.250 0.750

***

Please write out number 2 again, unchanged.
# InGaNiIr | the Alexandria database | PBE-GGA | optimized geometry
# total magnetic moment	0.00	μB per formula unit
# theoretical density	11.90	g cm⁻³
# DFT formation energy	-0.61	eV/f.u.
# calculated total energy	-5.255	eV/atom
data_InGaNiIr
_chemical_formula_sum 'In4 Ga4 Ni4 Ir4'
_symmetry_space_group_name_H-M 'F -4 3 m'
_symmetry_Int_Tables_number 216
_symmetry_space_group_name_Hall 'F -4 2 3'
_cell_length_a 6.242
_cell_length_b 6.242
_cell_length_c 6.242
_cell_angle_alpha 90.00
_cell_angle_beta 90.00
_cell_angle_gamma 90.00
loop_
_atom_site_label
_atom_site_type_symbol
_atom_site_fract_x
_atom_site_fract_y
_atom_site_fract_z
In1 In 0.000 0.000 0.000
Ga1 Ga 0.000 0.000 0.500
Ni1 Ni 0.250 0.250 0.250
Ir1 Ir 0.250 0.250 0.750